# PBE Zn2HBr, relaxed
data_Zn2HBr
_symmetry_space_group_name_H-M 'F m -3 m'
_symmetry_Int_Tables_number 225
_symmetry_space_group_name_Hall '-F 4 2 3'
_cell_length_a 6.541
_cell_length_b 6.541
_cell_length_c 6.541
_cell_angle_alpha 90.00
_cell_angle_beta 90.00
_cell_angle_gamma 90.00
loop_
_atom_site_label
_atom_site_type_symbol
_atom_site_fract_x
_atom_site_fract_y
_atom_site_fract_z
_atom_site_occupancy
Zn1 Zn 0.250 0.250 0.250 1
H1 H 0.000 0.000 0.000 1
Br1 Br 0.000 0.000 0.500 1
# * ΔE to the lowest computed polymorph: 12.50 kcal/mol of atoms
# * crystal system: cubic
# * D(E_F): 0.240 states/eV/atom
# * total moment: 0.00 μB/f.u.